Record 1
Zr2ZnSb | PBE-GGA | optimized geometry

Cell lengths 5.658, 5.658, 5.658 Å; angles 136.90, 136.84, 62.64 degrees
Fractional positions:
Zn: 0.250 0.750 0.500
Zr: 0.000 0.000 0.000
Zr: 0.750 0.250 0.500
Sb: 0.500 0.500 0.000

calculated total energy: -5.996 eV per atom

Record 2
Zr2ZnSb | PBE-GGA | optimized geometry

Cell lengths 7.640, 7.640, 6.197 Å; angles 51.94, 51.94, 90.00 degrees
Fractional positions:
Zr: 0.875 0.864 0.750
Zr: 0.136 0.625 0.250
Zr: 0.614 0.125 0.250
Zr: 0.375 0.386 0.750
Zn: 0.500 0.500 0.000
Zn: 0.250 0.750 0.500
Sb: 0.000 0.000 0.000
Sb: 0.750 0.250 0.500

calculated total energy: -5.824 eV per atom

Record 3
ZrZn2Sb2 | PBE-GGA | optimized geometry

Cell lengths 7.426, 7.426, 3.755 Å; angles 90.00, 90.00, 90.00 degrees
Fractional positions:
Sb: 0.680 0.820 0.500
Sb: 0.820 0.320 0.500
Sb: 0.320 0.180 0.500
Sb: 0.180 0.680 0.500
Zn: 0.879 0.621 0.000
Zn: 0.379 0.879 0.000
Zn: 0.621 0.121 0.000
Zn: 0.121 0.379 0.000
Zr: 0.500 0.500 0.000
Zr: 0.000 0.000 0.000

calculated total energy: -3.940 eV per atom

Question: Which of these has the highest calculated total energy?
Answer: ZrZn2Sb2

Question: Among the records above, which one has the highest calculated total energy?
Answer: ZrZn2Sb2

Question: calculated total energy of number 1 (Zr2ZnSb)?
Answer: -5.996 eV per atom

Please write out number 3 again, unchanged.
ZrZn2Sb2 | PBE-GGA | optimized geometry

Cell lengths 7.426, 7.426, 3.755 Å; angles 90.00, 90.00, 90.00 degrees
Fractional positions:
Sb: 0.680 0.820 0.500
Sb: 0.820 0.320 0.500
Sb: 0.320 0.180 0.500
Sb: 0.180 0.680 0.500
Zn: 0.879 0.621 0.000
Zn: 0.379 0.879 0.000
Zn: 0.621 0.121 0.000
Zn: 0.121 0.379 0.000
Zr: 0.500 0.500 0.000
Zr: 0.000 0.000 0.000

calculated total energy: -3.940 eV per atom